# Tc2NiMo, PBEsol geometry, DFT SCAN
data_Tc2NiMo
_cell_length_a 4.5927
_cell_length_b 4.5927
_cell_length_c 4.5927
_cell_angle_alpha 131.32
_cell_angle_beta 131.32
_cell_angle_gamma 71.31
_space_group_name_H-M_alt 'P 1'
_space_group_IT_number 1
loop_
_space_group_symop_operation_xyz
'x,y,z'
loop_
_atom_site_label
_atom_site_type_symbol
_atom_site_fract_x
_atom_site_fract_y
_atom_site_fract_z
Tc1 Tc 0.0000 0.0000 0.0000
Tc2 Tc 0.7500 0.2500 0.5000
Ni1 Ni 0.2500 0.7500 0.5000
Mo1 Mo 0.5000 0.5000 0.0000
# Fermi-level density of states: 0.649 states/eV/atom
# formation energy: 0.0112 eV/atom
# total moment: 0.0 μB/cell
# energy above the lowest structure with this stoichiometry: 29 meV per atom